No. 1
Zn2TeIr: relaxed, PBEsol.

Summary:
symmetry	No. 71
formation energy (no corrections)	0.205	eV/atom
size of the total moment	0.00	Bohr magnetons per cell
V	16.9	Å³/atom
final energy	-3.92	eV/atom

Cell lengths 5.282, 5.282, 5.282 Å; angles 144.91, 126.18, 65.89 degrees
Positions (direct):
Zn 0.231 0.231 0.000
Zn 0.769 0.769 0.000
Te 0.500 0.000 0.500
Ir 0.000 0.500 0.500

No. 2
ZrTcP2O: relaxed, PBEsol.

Summary:
symmetry	No. 123
formation energy (no corrections)	-0.476	eV/atom
size of the total moment	0.00	Bohr magnetons per cell
V	16.1	Å³/atom
final energy	-7.91	eV/atom

Cell lengths 4.726, 4.726, 3.604 Å; angles 90.00, 90.00, 90.00 degrees
Positions (direct):
Zr 0.000 0.000 0.000
Tc 0.500 0.500 0.500
P 0.000 0.500 0.500
P 0.500 0.000 0.500
O 0.500 0.500 0.000

No. 3
Li3In: relaxed, PBEsol.

Summary:
symmetry	No. 123
size of the total moment	0.00	Bohr magnetons per cell
energy relative to the elements	-0.202	eV per atom
V	18.6	Å³/atom
final energy	-2.42	eV/atom

Cell lengths 3.390, 3.390, 6.462 Å; angles 90.00, 90.00, 90.00 degrees
Positions (direct):
Li 0.000 0.000 0.000
Li 0.500 0.500 0.258
Li 0.500 0.500 0.742
In 0.000 0.000 0.500

No. 4
Cu2PRu: relaxed, PBEsol.

Summary:
symmetry	No. 123
size of the total moment	0.00	Bohr magnetons per cell
energy relative to the elements	0.183	eV per atom
V	12.4	Å³/atom
final energy	-5.98	eV/atom

Cell lengths 3.236, 3.236, 4.754 Å; angles 90.00, 90.00, 90.00 degrees
Positions (direct):
Cu 0.000 0.000 0.244
Cu 0.000 0.000 0.756
P 0.500 0.500 0.000
Ru 0.500 0.500 0.500

No. 5
SrZrZnPb2: relaxed, PBEsol.

Summary:
symmetry	No. 123
size of the total moment	1.11	Bohr magnetons per cell
energy relative to the elements	0.289	eV per atom
V	29.2	Å³/atom
final energy	-3.81	eV/atom

Cell lengths 5.320, 5.320, 5.157 Å; angles 90.00, 90.00, 90.00 degrees
Positions (direct):
Sr 0.000 0.000 0.000
Zr 0.500 0.500 0.000
Zn 0.500 0.500 0.500
Pb 0.000 0.500 0.500
Pb 0.500 0.000 0.500

No. 6
TcSb2WI: relaxed, PBEsol.

Summary:
symmetry	No. 123
formation energy (no corrections)	1.618	eV/atom
size of the total moment	3.95	Bohr magnetons per cell
V	27.1	Å³/atom
final energy	-5.57	eV/atom

Cell lengths 4.971, 4.971, 5.483 Å; angles 90.00, 90.00, 90.00 degrees
Positions (direct):
Tc 0.000 0.000 0.000
Sb 0.000 0.500 0.000
Sb 0.500 0.000 0.000
W 0.500 0.500 0.500
I 0.000 0.000 0.500